[1]
# MgFe2Se

A geometry-optimized MgFe2Se structure (PBE, Alexandria).

Geometry as POSCAR:
```
MgFe2Se
1.0
7.229 0.000 0.000
0.000 7.229 0.000
3.614 3.614 2.584
Fe Mg Se
4 2 2
Direct
0.075 0.625 0.250
0.375 0.325 0.750
0.875 0.925 0.750
0.675 0.125 0.250
0.250 0.750 0.500
0.500 0.500 0.000
0.000 0.000 0.000
0.750 0.250 0.500
```

Energy above the lowest structure with this stoichiometry in meV per atom: 343
Crystal system: tetragonal
E_form (uncorrected) in eV/atom: 0.35



[2]
# MgFe2Se

A geometry-optimized MgFe2Se structure (PBE, Alexandria).

Geometry as POSCAR:
```
MgFe2Se
1.0
-2.464 -0.993 -1.977
1.218 -3.080 0.029
-3.067 -1.172 4.411
Se Fe Mg
1 2 1
Direct
0.500 0.500 0.750
0.000 0.000 0.524
0.000 0.000 0.976
0.500 0.500 0.250
```

Energy above the lowest structure with this stoichiometry in meV per atom: 182
Crystal system: tetragonal
E_form (uncorrected) in eV/atom: 0.19



[3]
# MgFe2Se

A geometry-optimized MgFe2Se structure (PBE, Alexandria).

Geometry as POSCAR:
```
MgFe2Se
1.0
4.344 -0.006 0.019
3.181 2.959 0.019
1.051 0.413 5.046
Mg Fe Se
1 2 1
Direct
0.495 0.495 0.522
0.005 0.005 0.973
0.734 0.734 0.829
0.266 0.266 0.177
```

Energy above the lowest structure with this stoichiometry in meV per atom: 107
Crystal system: monoclinic
E_form (uncorrected) in eV/atom: 0.11



[4]
# MgFe4Se

A geometry-optimized MgFe4Se structure (PBE, Alexandria).

Geometry as POSCAR:
```
MgFe4Se
1.0
0.000 3.507 3.507
3.507 0.000 3.507
3.507 3.507 0.000
Fe Se Mg
4 1 1
Direct
0.377 0.870 0.377
0.377 0.377 0.870
0.377 0.377 0.377
0.870 0.377 0.377
0.000 0.000 0.000
0.750 0.750 0.750
```

Crystal system: cubic
E_form (uncorrected) in eV/atom: 0.24



[5]
# MgFe2Se

A geometry-optimized MgFe2Se structure (PBE, Alexandria).

Geometry as POSCAR:
```
MgFe2Se
1.0
4.388 0.000 0.000
2.194 3.800 0.000
2.194 1.267 3.583
Mg Fe Se
1 2 1
Direct
0.500 0.500 0.500
0.250 0.250 0.250
0.000 0.000 0.000
0.750 0.750 0.750
```

Energy above the lowest structure with this stoichiometry in meV per atom: 246
Crystal system: cubic
E_form (uncorrected) in eV/atom: 0.25



[6]
# MgFeSe

A geometry-optimized MgFeSe structure (PBE, Alexandria).

Geometry as POSCAR:
```
MgFeSe
1.0
-1.735 -0.318 -3.857
-2.105 -3.515 -1.095
-4.216 0.105 -0.444
Mg Se Fe
1 1 1
Direct
0.500 0.500 0.500
0.750 0.750 0.750
0.000 0.000 0.000
```

Energy above the lowest structure with this stoichiometry in meV per atom: 195
Crystal system: cubic
E_form (uncorrected) in eV/atom: 0.03